Ta5Cl: relaxed, PBE.

a b c (Å): 6.359 6.359 6.525
angles (deg): 106.87 106.87 26.79
Element x y z (fractional)
1 Ta 0.000 0.000 0.000
2 Ta 0.044 0.044 0.610
3 Ta 0.331 0.331 0.675
4 Ta 0.653 0.653 0.349
5 Ta 0.717 0.717 0.932
6 Cl 0.319 0.319 0.270

Calculated values
Crystal system = monoclinic
N(E_F) = 6.949 states/eV/f.u.
Energy relative to the lowest polymorph listed for this composition = 75.7 meV per atom
Raw total energy = -59.1 eV for the cell shown
ΔE_f (raw) = 0.336 eV per atom
Theoretical density = 13.75 g cm⁻³